A plane-wave DFT calculation with GGA+U was carried out for BaCoAs2O8 after structural relaxation.

## Properties
density: 4.77 g/cm3
space-group type: R-3 (148)
E_tot: -6.07 eV/atom

Lattice parameters (Å, degrees): 4.912 4.912 8.394 72.99 72.99 60.00
Positions (direct):
O: 0.738 0.045 0.860
O: 0.045 0.358 0.860
O: 0.262 0.955 0.140
O: 0.197 0.197 0.410
O: 0.358 0.738 0.860
O: 0.803 0.803 0.590
O: 0.642 0.262 0.140
O: 0.955 0.642 0.140
Co: 0.000 0.000 0.000
Ba: 0.500 0.500 0.500
As: 0.269 0.269 0.194
As: 0.731 0.731 0.806